La2GeH: optimized geometry, PBE.

Values from the calculation:
DOS at the Fermi energy = 7.406 states/eV/cell
space group = I-42d, No. 122
polymorph energy (0 for the lowest one) = 144 meV/atom

Unit cell a=7.1787 b=7.1787 c=6.3020 alpha=55.28 beta=55.28 gamma=90.00
Atoms (fractional coordinates):
H (0.5000, 0.5000, 0.0000)
H (0.2500, 0.7500, 0.5000)
Ge (0.0000, 0.0000, 0.0000)
Ge (0.7500, 0.2500, 0.5000)
La (0.5601, 0.1250, 0.2500)
La (0.1899, 0.6250, 0.2500)
La (0.3750, 0.4399, 0.7500)
La (0.8750, 0.8101, 0.7500)

La2Ge2H: optimized geometry, PBE.

Values from the calculation:
DOS at the Fermi energy = 5.451 states/eV/cell
space group = P4/mbm, No. 127
total DFT energy (no corrections) = -5.07 eV/atom

Unit cell a=7.5380 b=7.5380 c=4.4853 alpha=90.00 beta=90.00 gamma=90.00
Atoms (fractional coordinates):
H (0.0000, 0.0000, 0.0000)
H (0.5000, 0.5000, 0.0000)
Ge (0.1142, 0.6142, 0.5000)
Ge (0.6142, 0.8858, 0.5000)
Ge (0.8858, 0.3858, 0.5000)
Ge (0.3858, 0.1142, 0.5000)
La (0.3171, 0.8171, 0.0000)
La (0.8171, 0.6829, 0.0000)
La (0.6829, 0.1829, 0.0000)
La (0.1829, 0.3171, 0.0000)

La7Ge2H2: optimized geometry, PBE.

Values from the calculation:
DOS at the Fermi energy = 11.158 states/eV/cell
space group = C2/m, No. 12
total DFT energy (no corrections) = -4.85 eV/atom

Unit cell a=6.9470 b=6.6188 c=6.9470 alpha=83.59 beta=111.02 gamma=96.41
Atoms (fractional coordinates):
La (0.9517, 0.2737, 0.4808)
La (0.4808, 0.7263, 0.9517)
La (0.0483, 0.7263, 0.5192)
La (0.5192, 0.2737, 0.0483)
La (0.0000, 0.0000, 0.0000)
La (0.5714, 0.7741, 0.4286)
La (0.4286, 0.2259, 0.5714)
Ge (0.8316, 0.5000, 0.8316)
Ge (0.1684, 0.5000, 0.1684)
H (0.6152, 0.1320, 0.3848)
H (0.3848, 0.8680, 0.6152)

LaGeH2: optimized geometry, PBE.

Values from the calculation:
DOS at the Fermi energy = 1.949 states/eV/cell
space group = Fm-3m, No. 225
polymorph energy (0 for the lowest one) = 0 meV/atom

Unit cell a=4.3191 b=4.3191 c=4.3191 alpha=60.00 beta=60.00 gamma=60.00
Atoms (fractional coordinates):
H (0.2500, 0.2500, 0.2500)
H (0.7500, 0.7500, 0.7500)
Ge (0.0000, 0.0000, 0.0000)
La (0.5000, 0.5000, 0.5000)

LaGe2H: optimized geometry, PBE.

Values from the calculation:
DOS at the Fermi energy = 3.954 states/eV/cell
space group = I4_1/amd, No. 141
polymorph energy (0 for the lowest one) = 0 meV/atom

Unit cell a=5.3388 b=5.3388 c=6.8819 alpha=67.18 beta=67.18 gamma=90.00
Atoms (fractional coordinates):
H (0.5000, 0.5000, 0.0000)
H (0.2500, 0.7500, 0.5000)
Ge (0.3755, 0.1250, 0.2500)
Ge (0.3745, 0.6250, 0.2500)
Ge (0.3750, 0.6245, 0.7500)
Ge (0.8750, 0.6255, 0.7500)
La (0.0000, 0.0000, 0.0000)
La (0.7500, 0.2500, 0.5000)

LaGe3H: optimized geometry, PBE.

Values from the calculation:
DOS at the Fermi energy = 2.465 states/eV/cell
space group = Pm-3m, No. 221
polymorph energy (0 for the lowest one) = 0 meV/atom

Unit cell a=4.5002 b=4.5002 c=4.5002 alpha=90.00 beta=90.00 gamma=90.00
Atoms (fractional coordinates):
H (0.0000, 0.0000, 0.0000)
Ge (0.0000, 0.5000, 0.0000)
Ge (0.0000, 0.0000, 0.5000)
Ge (0.5000, 0.0000, 0.0000)
La (0.5000, 0.5000, 0.5000)

LaGe2H2: optimized geometry, PBE.

Values from the calculation:
DOS at the Fermi energy = 4.693 states/eV/cell
space group = P4/mbm, No. 127
total DFT energy (no corrections) = -4.35 eV/atom

Unit cell a=6.3276 b=6.3276 c=4.1862 alpha=90.00 beta=90.00 gamma=90.00
Atoms (fractional coordinates):
H (0.1638, 0.6638, 0.0000)
H (0.6638, 0.8362, 0.0000)
H (0.8362, 0.3362, 0.0000)
H (0.3362, 0.1638, 0.0000)
Ge (0.1468, 0.6468, 0.5000)
Ge (0.6468, 0.8532, 0.5000)
Ge (0.8532, 0.3532, 0.5000)
Ge (0.3532, 0.1468, 0.5000)
La (0.0000, 0.0000, 0.0000)
La (0.5000, 0.5000, 0.0000)

La5Ge3H: optimized geometry, PBE.

Values from the calculation:
DOS at the Fermi energy = 15.387 states/eV/cell
space group = I4/mcm, No. 140
total DFT energy (no corrections) = -5.40 eV/atom

Unit cell a=8.1629 b=8.1629 c=9.0430 alpha=116.83 beta=116.83 gamma=90.00
Atoms (fractional coordinates):
La (0.5000, 0.5000, 0.0000)
La (0.0000, 0.0000, 0.0000)
La (0.1786, 0.0222, 0.7008)
La (0.5222, 0.6786, 0.7008)
La (0.6786, 0.1786, 0.7008)
La (0.0222, 0.5222, 0.7008)
La (0.8214, 0.9778, 0.2992)
La (0.4778, 0.3214, 0.2992)
La (0.3214, 0.8214, 0.2992)
La (0.9778, 0.4778, 0.2992)
Ge (0.2500, 0.2500, 0.5000)
Ge (0.7500, 0.7500, 0.5000)
Ge (0.1221, 0.3779, 0.0000)
Ge (0.8779, 0.6221, 0.0000)
Ge (0.6221, 0.1221, 0.0000)
Ge (0.3779, 0.8779, 0.0000)
H (0.2500, 0.7500, 0.5000)
H (0.7500, 0.2500, 0.5000)

La2GeH: optimized geometry, PBE.

Values from the calculation:
DOS at the Fermi energy = 9.866 states/eV/cell
space group = P3_121, No. 152
polymorph energy (0 for the lowest one) = 171 meV/atom

Unit cell a=6.4223 b=6.4223 c=8.7171 alpha=90.00 beta=90.00 gamma=120.00
Atoms (fractional coordinates):
La (0.8949, 0.2898, 0.9548)
La (0.3949, 0.1051, 0.6215)
La (0.7102, 0.6051, 0.2882)
La (0.2898, 0.8949, 0.0452)
La (0.1051, 0.3949, 0.3785)
La (0.6051, 0.7102, 0.7118)
Ge (0.4118, 0.4118, 0.0000)
Ge (0.0000, 0.5882, 0.6667)
Ge (0.5882, 0.0000, 0.3333)
H (0.4515, 0.4515, 0.5000)
H (0.0000, 0.5485, 0.1667)
H (0.5485, 0.0000, 0.8333)

LaGeH: optimized geometry, PBE.

Values from the calculation:
DOS at the Fermi energy = 1.413 states/eV/cell
space group = Cmcm, No. 63
total DFT energy (no corrections) = -5.10 eV/atom

Unit cell a=4.3651 b=4.1575 c=6.4771 alpha=90.00 beta=109.75 gamma=90.00
Atoms (fractional coordinates):
La (0.2352, 0.4151, 0.3950)
La (0.9397, 0.9151, 0.8044)
Ge (0.5261, 0.4151, 0.9767)
Ge (0.6487, 0.9151, 0.2224)
H (0.8312, 0.4151, 0.5888)
H (0.3437, 0.9151, 0.6105)

La5Ge2H: optimized geometry, PBE.

Values from the calculation:
DOS at the Fermi energy = 7.260 states/eV/cell
space group = Fmm2, No. 42
total DFT energy (no corrections) = -5.04 eV/atom

Unit cell a=7.1138 b=7.1139 c=6.6623 alpha=122.18 beta=122.18 gamma=90.19
Atoms (fractional coordinates):
La (0.7487, 0.2488, 0.9974)
La (0.2488, 0.2488, 0.9976)
La (0.7487, 0.7487, 0.9975)
La (0.2488, 0.7487, 0.9974)
La (0.7542, 0.7542, 0.5084)
Ge (0.2501, 0.7500, 0.5002)
Ge (0.7500, 0.2501, 0.5002)
H (0.0277, 0.0277, 0.0553)

La6Ge3H2: optimized geometry, PBE.

Values from the calculation:
DOS at the Fermi energy = 11.258 states/eV/cell
space group = I4/mmm, No. 139
total DFT energy (no corrections) = -5.16 eV/atom

Unit cell a=4.7989 b=4.7989 c=12.9065 alpha=100.71 beta=100.71 gamma=90.00
Atoms (fractional coordinates):
La (0.0805, 0.5805, 0.1610)
La (0.5805, 0.0805, 0.1610)
La (0.9195, 0.4195, 0.8390)
La (0.4195, 0.9195, 0.8390)
La (0.7040, 0.7040, 0.4079)
La (0.2960, 0.2960, 0.5921)
Ge (0.0000, 0.0000, 0.0000)
Ge (0.8287, 0.8287, 0.6575)
Ge (0.1713, 0.1713, 0.3425)
H (0.3972, 0.3972, 0.7945)
H (0.6028, 0.6028, 0.2055)